This record from Alexandria via LeMat-Bulk describes a relaxed FeHg2Os crystal. The functional is PBE.

a b c (Å): 4.592 4.592 4.592
angles (deg): 60.00 60.00 60.00
Each line ends with the local moment (μB).
Positions (direct):
Fe 0.000 0.000 0.000  2.86
Os 0.500 0.500 0.500  0.36
Hg 0.750 0.750 0.750  -0.03
Hg 0.250 0.250 0.250  -0.03

Results
DOS(E_F), states/eV/cell: 3.04
Calculated volume, A^3/atom: 17.11
Total energy, eV/atom: -4.196
Formation energy from the elements, eV/atom: 0.88